[1]
CaBeAs2 after structural relaxation, computed with PBEsol. Values from VASP.

The structure in Quantum ESPRESSO input format:
```
&SYSTEM
  ibrav = 0, nat = 4, ntyp = 3
/
ATOMIC_SPECIES
Ca 40.08 Ca.upf
Be 9.01 Be.upf
As 74.92 As.upf
ATOMIC_POSITIONS crystal
Ca 0.0000 0.0000 0.0000
Be 0.5000 0.5000 0.0000
As 0.0000 0.5000 0.5000
As 0.5000 0.0000 0.5000
CELL_PARAMETERS angstrom
4.2800 0.0000 0.0000
0.0000 4.2800 0.0000
0.0000 0.0000 3.8849
```

Properties
* formation enthalpy at 0 K: -0.17 eV/atom

***

[2]
Li4ZrSe after structural relaxation, computed with PBEsol. Values from VASP.

The structure in Quantum ESPRESSO input format:
```
&SYSTEM
  ibrav = 0, nat = 6, ntyp = 3
/
ATOMIC_SPECIES
Li 6.94 Li.upf
Zr 91.22 Zr.upf
Se 78.96 Se.upf
ATOMIC_POSITIONS crystal
Li 0.3757 0.3757 0.3757
Li 0.3757 0.3757 0.8729
Li 0.3757 0.8729 0.3757
Li 0.8729 0.3757 0.3757
Zr 0.0000 0.0000 0.0000
Se 0.7500 0.7500 0.7500
CELL_PARAMETERS angstrom
0.0000 3.7185 3.7185
3.7185 0.0000 3.7185
3.7185 3.7185 0.0000
```

Properties
* raw formation energy: 0.1239 eV per atom

***

[3]
SrCo2Si after structural relaxation, computed with PBEsol. Values from VASP.

The structure in Quantum ESPRESSO input format:
```
&SYSTEM
  ibrav = 0, nat = 4, ntyp = 3
/
ATOMIC_SPECIES
Sr 87.62 Sr.upf
Co 58.93 Co.upf
Si 28.09 Si.upf
ATOMIC_POSITIONS crystal
Sr 0.0000 0.0000 0.0000
Co 0.4832 0.4832 0.0000
Co 0.7026 0.2026 0.5000
Si 0.2884 0.7884 0.5000
CELL_PARAMETERS angstrom
-1.3962 2.3377 4.7852
1.3962 -2.3377 4.7852
1.3962 2.3377 -4.7852
```

Properties
* raw formation energy: 0.3797 eV per atom

***

[4]
TlSb2Mo after structural relaxation, computed with PBEsol. Values from VASP.

The structure in Quantum ESPRESSO input format:
```
&SYSTEM
  ibrav = 0, nat = 4, ntyp = 3
/
ATOMIC_SPECIES
Tl 204.38 Tl.upf
Sb 121.76 Sb.upf
Mo 95.94 Mo.upf
ATOMIC_POSITIONS crystal
Tl 0.0000 0.0000 0.0000
Sb 0.2500 0.7500 0.5000
Sb 0.5000 0.5000 0.0000
Mo 0.7500 0.2500 0.5000
CELL_PARAMETERS angstrom
-2.1771 2.1771 4.7251
2.1771 -2.1771 4.7251
2.1771 2.1771 -4.7251
```

Properties
* offset from the most stable computed form: 57.43 kJ per mole of atoms
* raw formation energy: 0.6959 eV per atom

***

[5]
AlAgGe2B after structural relaxation, computed with PBEsol. Values from VASP.

The structure in Quantum ESPRESSO input format:
```
&SYSTEM
  ibrav = 0, nat = 5, ntyp = 4
/
ATOMIC_SPECIES
Al 26.98 Al.upf
Ag 107.87 Ag.upf
Ge 72.64 Ge.upf
B 10.81 B.upf
ATOMIC_POSITIONS crystal
Al 0.0000 0.0000 0.0000
Ag 0.0000 0.0000 0.5000
Ge 0.0000 0.5000 0.5000
Ge 0.5000 0.0000 0.5000
B 0.5000 0.5000 0.0000
CELL_PARAMETERS angstrom
4.8719 0.0000 0.0000
0.0000 4.8719 0.0000
0.0000 0.0000 4.7378
```

Properties
* formation enthalpy at 0 K: 1.53 eV/atom

***

[6]
AlV2C after structural relaxation, computed with PBEsol. Values from VASP.

The structure in Quantum ESPRESSO input format:
```
&SYSTEM
  ibrav = 0, nat = 8, ntyp = 3
/
ATOMIC_SPECIES
Al 26.98 Al.upf
V 50.94 V.upf
C 12.01 C.upf
ATOMIC_POSITIONS crystal
Al 0.3333 0.6667 0.2500
Al 0.6667 0.3333 0.7500
V 0.3333 0.6667 0.5851
V 0.3333 0.6667 0.9149
V 0.6667 0.3333 0.0851
V 0.6667 0.3333 0.4149
C 0.0000 0.0000 0.0000
C 0.0000 0.0000 0.5000
CELL_PARAMETERS angstrom
2.8804 0.0000 0.0000
-1.4402 2.4945 0.0000
0.0000 0.0000 13.0292
```

Properties
* formation enthalpy at 0 K: -0.57 eV/atom